Computed, not measured: a relaxed structure of Re3SnCl at the GGA-PBE level of DFT.

a b c (Å): 5.136 5.136 5.136
angles (deg): 90.00 90.00 90.00
Sites, in units of the cell vectors:
Re1 0.000 0.000 0.500
Re2 0.000 0.500 0.000
Re3 0.500 0.000 0.000
Sn1 0.000 0.000 0.000
Cl1 0.500 0.500 0.500

* energy relative to the elements, uncorrected: 3.10 eV per atom
* total energy: -5.5375 eV/atom
* D(E_F): 5.838 states/eV/cell
* crystal system: cubic
* E above lowest polymorph: 1.3295 eV/atom



Computed, not measured: a relaxed structure of Rb2Li3TlF12 at the GGA-PBE level of DFT.

a b c (Å): 7.492 7.492 7.492
angles (deg): 56.79 56.79 56.79
Sites, in units of the cell vectors:
Rb1 0.122 0.122 0.122
Rb2 0.878 0.878 0.878
Li1 0.000 0.500 0.500
Li2 0.500 0.000 0.500
Li3 0.500 0.500 0.000
Tl1 0.500 0.500 0.500
F1 0.140 0.588 0.588
F2 0.156 0.156 0.618
F3 0.156 0.618 0.156
F4 0.382 0.844 0.844
F5 0.412 0.412 0.860
F6 0.412 0.860 0.412
F7 0.588 0.140 0.588
F8 0.588 0.588 0.140
F9 0.618 0.156 0.156
F10 0.844 0.382 0.844
F11 0.844 0.844 0.382
F12 0.860 0.412 0.412

* energy relative to the elements, uncorrected: -1.92 eV per atom
* total energy: -3.7259 eV/atom
* D(E_F): 12.243 states/eV/cell
* crystal system: trigonal



Computed, not measured: a relaxed structure of TbPmAu at the GGA-PBE level of DFT.

a b c (Å): 4.945 4.945 3.909
angles (deg): 90.00 90.00 120.00
Sites, in units of the cell vectors:
Tb1 0.000 0.000 0.000
Pm1 0.333 0.667 0.462
Au1 0.667 0.333 0.770

* total energy: -4.6151 eV/atom
* D(E_F): 2.169 states/eV/cell
* crystal system: trigonal
* energy relative to the elements: -0.3956 eV/atom
* E above lowest polymorph: 0.1880 eV/atom